[1]
A PBEsol-optimized structure of BaMoAs4. Source: Alexandria, functional meta-GGA SCAN.

As for the total energy: -613.51 eV for the cell shown. Its mass density is 6.7 g/cm3. The density of states at the Fermi level is 12.0 states/eV per cell.

Cell lengths 8.088, 8.088, 8.088 Å; angles 90.00, 90.00, 90.00 degrees
Space group F-43m (No. 216)
Symmetry-distinct sites (fractional):
Ba: 0.000 0.000 0.000 x4
Mo: 0.250 0.250 0.750 x4
As: 0.122 0.122 0.378 x16

=====

[2]
A PBEsol-optimized structure of LaY2Os. Source: Alexandria, functional meta-GGA SCAN.

As for the total energy: -170.26 eV for the cell shown. Its mass density is 8.7 g/cm3. The density of states at the Fermi level is 4.0 states/eV per cell.

Cell lengths 3.440, 4.622, 6.334 Å; angles 90.00, 105.30, 90.00 degrees
Space group P2/m (No. 10)
Symmetry-distinct sites (fractional):
La: 0.000 0.000 0.000 x1
Y: 0.310 0.500 0.715 x2
Os: 0.500 0.000 0.500 x1

=====

[3]
A PBEsol-optimized structure of Na2OsW. Source: Alexandria, functional meta-GGA SCAN.

As for the total energy: -565.76 eV for the cell shown. Its mass density is 10.4 g/cm3. The density of states at the Fermi level is 17.8 states/eV per cell.

Cell lengths 6.454, 6.454, 6.454 Å; angles 90.00, 90.00, 90.00 degrees
Space group Fm-3m (No. 225)
Symmetry-distinct sites (fractional):
Na: 0.250 0.250 0.250 x8
Os: 0.000 0.000 0.000 x4
W: 0.000 0.000 0.500 x4

=====

[4]
A PBEsol-optimized structure of ReBiOF2. Source: Alexandria, functional meta-GGA SCAN.

Its mass density is 10.1 g/cm3. The value obtained for the energy relative to the lowest polymorph listed for this composition is 0.0 kJ per mole of atoms. The calculation puts the raw formation energy at -0.715 eV per atom. The density of states at the Fermi level is 2.8 states/eV per cell.

Cell lengths 4.440, 4.440, 3.729 Å; angles 90.00, 90.00, 90.00 degrees
Space group P4/mmm (No. 123)
Symmetry-distinct sites (fractional):
Re: 0.000 0.000 0.000 x1
Bi: 0.500 0.500 0.500 x1
O: 0.000 0.000 0.500 x1
F: 0.000 0.500 0.000 x2

=====

[5]
A PBEsol-optimized structure of YHg2P. Source: Alexandria, functional meta-GGA SCAN.

As for the total energy: -176.78 eV for the cell shown. Its mass density is 9.5 g/cm3. The density of states at the Fermi level is 1.3 states/eV per cell.

Cell lengths 3.820, 3.820, 6.265 Å; angles 90.00, 90.00, 90.00 degrees
Space group P4mm (No. 99)
Symmetry-distinct sites (fractional):
Y: 0.000 0.000 0.000 x1
Hg: 0.000 0.000 0.516 x1
Hg: 0.500 0.500 0.330 x1
P: 0.500 0.500 0.883 x1

=====

[6]
A PBEsol-optimized structure of BeSe2IBr. Source: Alexandria, functional meta-GGA SCAN.

Its mass density is 3.9 g/cm3. The calculation puts the raw formation energy at 1.096 eV per atom. The density of states at the Fermi level is 1.9 states/eV per cell.

Cell lengths 5.375, 5.375, 5.449 Å; angles 90.00, 90.00, 90.00 degrees
Space group P4/mmm (No. 123)
Symmetry-distinct sites (fractional):
Be: 0.000 0.000 0.000 x1
Se: 0.000 0.500 0.500 x2
I: 0.500 0.500 0.500 x1
Br: 0.500 0.500 0.000 x1

=====

[7]
A PBEsol-optimized structure of Y2SiSe. Source: Alexandria, functional meta-GGA SCAN.

Its mass density is 5.4 g/cm3. The value obtained for the energy relative to the lowest polymorph listed for this composition is 52.7 kJ per mole of atoms. The calculation puts the raw formation energy at -0.946 eV per atom. The density of states at the Fermi level is 2.5 states/eV per cell.

Cell lengths 4.070, 4.070, 10.655 Å; angles 90.00, 90.00, 90.00 degrees
Space group I-4m2 (No. 119)
Symmetry-distinct sites (fractional):
Y: 0.000 0.000 0.000 x2
Y: 0.000 0.500 0.250 x2
Si: 0.000 0.500 0.750 x2
Se: 0.000 0.000 0.500 x2

=====

[8]
A PBEsol-optimized structure of Na4Sb2C4SO16. Source: Alexandria, functional meta-GGA SCAN.

Its mass density is 3.0 g/cm3. The value obtained for the energy relative to the lowest polymorph listed for this composition is 0.0 kJ per mole of atoms. The calculation puts the raw formation energy at -1.578 eV per atom.

Cell lengths 14.075, 14.393, 14.631 Å; angles 90.00, 90.00, 90.00 degrees
Space group F222 (No. 22)
Symmetry-distinct sites (fractional):
Na: 0.000 0.000 0.204 x8
Na: 0.000 0.207 0.000 x8
Na: 0.053 0.250 0.250 x8
Na: 0.207 0.000 0.000 x8
Sb: 0.131 0.124 0.629 x16
C: 0.090 0.085 0.406 x16
C: 0.145 0.135 0.837 x16
S: 0.000 0.000 0.000 x4
S: 0.250 0.250 0.250 x4
O: 0.027 0.093 0.341 x16
O: 0.061 0.059 0.059 x16
O: 0.076 0.192 0.845 x16
O: 0.096 0.144 0.470 x16
O: 0.149 0.014 0.405 x16
O: 0.149 0.077 0.767 x16
O: 0.188 0.190 0.191 x16
O: 0.212 0.130 0.897 x16